No. 1
First-principles (PBE-GGA) data for an optimized crystal structure of GdSbIr, as listed in Alexandria via LeMat-Bulk.

Cell lengths 3.8998, 3.8998, 9.2291 Å; angles 90.00, 90.00, 90.00 degrees
Last column: nearest neighbours and their distance in Å.
Space group I4mm (No. 107)
One atom of each set of equivalent atoms:
Gd 0.0000 0.0000 0.0000 x2  4 Ir 2.95, 5 Sb 2.97-3.21
Sb 0.0000 0.0000 0.6782 x2  1 Ir 2.69, 1 Gd 2.97
Ir 0.0000 0.0000 0.3867 x2  1 Sb 2.69, 4 Gd 2.95

Properties
D(E_F) = 3.39 states/eV/cell
E = -56.2 eV per cell



No. 2
First-principles (PBE-GGA) data for an optimized crystal structure of YSiPt, as listed in Alexandria via LeMat-Bulk.

Cell lengths 7.0274, 4.2946, 7.4813 Å; angles 90.00, 90.00, 90.00 degrees
Last column: nearest neighbours and their distance in Å.
Space group Pnma (No. 62)
One atom of each set of equivalent atoms:
Y 0.0027 0.2500 0.2004 x4  6 Si 2.98-3.18, 6 Pt 2.99-3.21
Si 0.1866 0.2500 0.5877 x4  4 Pt 2.51-2.71
Pt 0.1990 0.7500 0.4148 x4  4 Si 2.51-2.71

Properties
D(E_F) = 5.80 states/eV/cell
E = -86.2 eV per cell